Entry 1:
16
Lattice="-1.025 -0.594 4.546 8.103 -4.021 1.301 5.200 11.336 2.654" Properties=species:S:1:pos:R:3 comment="Tl2IF (PBE, relaxed)" e_above_lowest_polymorph_mev_per_atom=0 e_form_raw_ev_per_atom=-1.21 pbc="T T T"
Tl 7.805 5.447 6.113
Tl 4.473 1.274 2.389
Tl 3.970 7.930 5.573
Tl 4.891 -2.623 4.401
Tl 2.967 4.027 4.836
Tl 9.311 2.694 3.665
Tl 8.308 -1.209 2.929
Tl 7.387 9.343 4.100
F 10.198 2.380 6.251
F 2.081 4.341 2.250
F 7.767 7.926 6.428
F 4.511 -1.205 2.073
I 10.923 6.180 4.484
I 6.482 0.874 5.217
I 1.355 0.541 4.017
I 5.796 5.847 3.285



Entry 2:
10
Lattice="3.647 0.000 0.000 0.000 3.647 0.000 0.000 0.000 17.621" Properties=species:S:1:pos:R:3 comment="Er4Ag5Pb (PBE, relaxed)" delta_e_f_ev_per_fu=-2.8 pbc="T T T"
Ag 1.824 1.824 5.206
Ag 1.824 1.824 12.415
Ag 1.824 1.824 1.852
Ag 1.824 1.824 8.811
Ag 1.824 1.824 15.769
Er 0.000 0.000 7.014
Er 0.000 0.000 10.607
Er 0.000 0.000 3.461
Er 0.000 0.000 14.160
Pb 0.000 0.000 0.000



Entry 3:
26
Lattice="-2.883 3.417 -6.699 -3.791 -6.319 3.249 -4.712 5.244 4.703" Properties=species:S:1:pos:R:3 comment="Li17Ag3Sn6 (PBE, relaxed)" delta_e_f_ev_per_fu=-9.3 pbc="T T T"
Li -3.015 -0.178 -0.449
Li -3.979 4.428 3.971
Li -5.072 -1.311 1.514
Li -4.769 1.934 -1.802
Li -2.714 -0.153 2.548
Li -3.966 4.480 0.969
Li -7.656 1.417 0.688
Li -3.226 -3.343 2.868
Li -2.629 3.063 -3.677
Li -6.236 -0.278 -0.841
Li -6.613 0.404 3.052
Li -6.385 0.288 6.026
Li -4.250 1.440 4.075
Li -5.797 6.587 -0.409
Li -6.288 3.352 2.707
Li -2.441 2.779 -0.448
Li -6.310 3.650 -0.264
Sn -5.580 6.276 2.574
Sn -4.701 1.582 1.119
Sn -4.206 4.817 -1.994
Sn -5.864 3.231 5.685
Sn -9.265 3.212 2.298
Sn -4.794 -1.479 4.439
Ag -8.196 2.166 4.632
Ag -2.368 2.636 2.364
Ag -7.893 5.412 1.316